First-principles (PBE) data for crystalline YHoGaGe at its relaxed geometry, as listed in Alexandria.

CIF file:
```
data_YHoGaGe
_chemical_formula_sum 'Y4 Ho4 Ga4 Ge4'
_symmetry_space_group_name_H-M 'F -4 3 m'
_symmetry_Int_Tables_number 216
_symmetry_space_group_name_Hall 'F -4 2 3'
_cell_length_a 7.146
_cell_length_b 7.146
_cell_length_c 7.146
_cell_angle_alpha 90.00
_cell_angle_beta 90.00
_cell_angle_gamma 90.00
loop_
_atom_site_label
_atom_site_fract_x
_atom_site_fract_y
_atom_site_fract_z
Y1 0.000 0.000 0.000
Ho1 0.000 0.000 0.500
Ga1 0.250 0.250 0.250
Ge1 0.250 0.250 0.750
```

Results
Its energy above the most stable polymorph in this dataset is 224 meV/atom. The calculation puts the total energy at -84.05 eV per cell. The formation energy is -2.3 eV per formula unit. For the magnetic moment, the calculation gives 0.0 μB per formula unit.